## AgWCl3 (PBE)

Data for a relaxed AgWCl3 crystal.

The structure belongs to space group Pm-3m (No. 221); the cell edges are 4.916, 4.916 and 4.916 Å and the angles 90.00°, 90.00° and 90.00°. Symmetry generates all atoms from Ag at (0.000, 0.000, 0.000), W at (0.500, 0.500, 0.500) and Cl at (0.000, 0.500, 0.500).

Its crystal system is cubic. The formation energy from raw total energies is 89 kJ/mol of formula units. The value obtained for the energy relative to the lowest polymorph listed for this composition is 0 meV/atom. The calculation puts the magnetization at 2.785 Bohr magnetons per cell. For the density of states at the Fermi level, the calculation gives 3.0 states/eV/f.u. The volume is 23.76 A^3/atom.